*P*
{"formula": "SmHoTh", "functional": "PBE", "state": "optimized geometry", "m_tot_mub_per_fu": 0.00, "rho_g_cm3": 9.35, "n_ef_per_ev_cell": 4.92, "spacegroup": "P3m1", "lattice_angstrom": [[-0.950, 2.621, -2.252], [-2.018, -0.712, 2.875], [4.663, 5.718, 4.690]], "species": ["Sm", "Ho", "Th"], "fractional_positions": [[0.000, 0.000, 0.994], [0.667, 0.333, 0.342], [0.333, 0.667, 0.664]]}

*Q*
{"formula": "SmHoTh", "functional": "PBE", "state": "optimized geometry", "m_tot_mub_per_fu": 0.00, "rho_g_cm3": 9.09, "n_ef_per_ev_cell": 14.51, "spacegroup": "P-1", "lattice_angstrom": [[-2.472, -2.629, -10.265], [4.500, -5.035, 0.218], [-2.631, -2.063, 6.927]], "species": ["Sm", "Sm", "Sm", "Sm", "Ho", "Ho", "Ho", "Ho", "Th", "Th", "Th", "Th"], "fractional_positions": [[0.842, 0.999, 0.499], [0.342, 0.501, 0.499], [0.658, 0.499, 0.501], [0.158, 0.001, 0.501], [0.842, 0.501, 0.183], [0.342, 0.999, 0.183], [0.658, 0.001, 0.817], [0.158, 0.499, 0.817], [0.999, 0.750, 0.999], [0.500, 0.750, 0.999], [0.500, 0.250, 0.001], [0.001, 0.250, 0.001]]}

*R*
{"formula": "SmHoTh", "functional": "PBE", "state": "optimized geometry", "m_tot_mub_per_fu": 0.00, "rho_g_cm3": 9.21, "n_ef_per_ev_cell": 9.03, "spacegroup": "P6_3mc", "lattice_angstrom": [[3.504, 0.000, 0.000], [-1.752, 3.035, 0.000], [0.000, 0.000, 18.561]], "species": ["Th", "Th", "Sm", "Sm", "Ho", "Ho"], "fractional_positions": [[0.333, 0.667, 0.158], [0.667, 0.333, 0.658], [0.667, 0.333, 0.842], [0.333, 0.667, 0.342], [0.000, 0.000, 0.999], [0.000, 0.000, 0.499]]}

Which structure is most stable? *P*, by 0.115 eV/atom over the runner-up.

*P*
{"formula": "SmHoTh", "functional": "PBE", "state": "optimized geometry", "m_tot_mub_per_fu": 0.00, "rho_g_cm3": 9.34, "n_ef_per_ev_cell": 9.11, "spacegroup": "R-3m", "lattice_angstrom": [[3.587, -0.015, -0.020], [-1.780, 3.115, 0.020], [-1.692, -1.090, 17.455]], "species": ["Sm", "Sm", "Ho", "Ho", "Th", "Th"], "fractional_positions": [[0.610, 0.305, 0.915], [0.390, 0.695, 0.085], [0.836, 0.418, 0.254], [0.164, 0.582, 0.746], [0.279, 0.139, 0.418], [0.721, 0.861, 0.582]]}

*Q*
{"formula": "SmHoTh", "functional": "PBE", "state": "optimized geometry", "m_tot_mub_per_fu": 0.00, "rho_g_cm3": 9.34, "n_ef_per_ev_cell": 4.07, "spacegroup": "I4mm", "lattice_angstrom": [[-1.321, 0.035, 3.344], [0.375, -3.571, 0.185], [7.434, 2.642, 0.975]], "species": ["Sm", "Ho", "Th"], "fractional_positions": [[0.994, 0.994, 0.989], [0.674, 0.674, 0.347], [0.332, 0.332, 0.664]]}

Which structure is most stable? *P*, by 0.005 eV/atom over the runner-up.